{
  "formula": "TePb",
  "functional": "PBE-GGA",
  "state": "optimized geometry",
  "energy_ev_per_atom": -3.742,
  "rho_g_cm3": 6.373,
  "spacegroup": "P6_3/mmc",
  "lattice_angstrom": [[5.5261, 0.0000, 0.0000], [-2.7631, 4.7858, 0.0000], [0.0000, 0.0000, 6.5968]],
  "species": ["Te", "Te", "Pb", "Pb"],
  "fractional_positions": [[0.3333, 0.6667, 0.2500], [0.6667, 0.3333, 0.7500], [0.3333, 0.6667, 0.7500], [0.6667, 0.3333, 0.2500]]
}